# 1
# PBE LiAl5Fe4, optimized geometry
# - calculated formation energy (eV/atom) = -0.297
# - theoretical density (g/cm3) = 4.865
data_LiAl5Fe4
_chemical_formula_sum 'Li1 Al5 Fe4'
_cell_length_a 2.882
_cell_length_b 2.882
_cell_length_c 15.006
_cell_angle_alpha 90.00
_cell_angle_beta 90.00
_cell_angle_gamma 90.00
_symmetry_space_group_name_H-M 'P 4/m m m'
_symmetry_Int_Tables_number 123
_symmetry_space_group_name_Hall '-P 4 2'
loop_
_atom_site_label
_atom_site_fract_x
_atom_site_fract_y
_atom_site_fract_z
Li1 0.000 0.000 0.000
Al1 0.500 0.500 0.121
Al2 0.500 0.500 0.308
Al3 0.500 0.500 0.500
Fe1 0.000 0.000 0.212
Fe2 0.000 0.000 0.405

***

# 2
# PBE CaTb3Hg2, optimized geometry
# - calculated formation energy (eV/atom) = -0.356
# - theoretical density (g/cm3) = 8.859
data_CaTb3Hg2
_chemical_formula_sum 'Ca2 Tb6 Hg4'
_cell_length_a 5.168
_cell_length_b 9.321
_cell_length_c 7.144
_cell_angle_alpha 90.00
_cell_angle_beta 90.00
_cell_angle_gamma 90.00
_symmetry_space_group_name_H-M 'P m c 21'
_symmetry_Int_Tables_number 26
loop_
_symmetry_equiv_pos_as_xyz
'x,y,z'
'-x,-y,z+1/2'
'-x,y,z'
'x,-y,z+1/2'
loop_
_atom_site_label
_atom_site_fract_x
_atom_site_fract_y
_atom_site_fract_z
Ca1 0.000 0.057 0.000
Tb1 0.000 0.328 0.648
Tb2 0.500 0.173 0.318
Tb3 0.500 0.442 0.970
Hg1 0.000 0.351 0.224
Hg2 0.500 0.152 0.742

***

# 3
# PBE TaAgSe2Br, optimized geometry
# - formation energy without anion corrections (meV/atom) = 1064
# - relative energy among the computed polymorphs (eV per formula unit) = 5.51
# - theoretical density (g/cm3) = 6.863
data_TaAgSe2Br
_chemical_formula_sum 'Ta1 Ag1 Se2 Br1'
_cell_length_a 5.070
_cell_length_b 5.070
_cell_length_c 4.958
_cell_angle_alpha 90.00
_cell_angle_beta 90.00
_cell_angle_gamma 90.00
_symmetry_space_group_name_H-M 'P 4/m m m'
_symmetry_Int_Tables_number 123
_symmetry_space_group_name_Hall '-P 4 2'
loop_
_atom_site_label
_atom_site_fract_x
_atom_site_fract_y
_atom_site_fract_z
Ta1 0.000 0.000 0.000
Ag1 0.500 0.500 0.500
Se1 0.000 0.500 0.500
Br1 0.500 0.500 0.000

***

# 4
# PBE Na2In2SiS6, optimized geometry
# - formation energy without anion corrections (meV/atom) = -849
# - theoretical density (g/cm3) = 2.880
data_Na2In2SiS6
_chemical_formula_sum 'Na8 In8 Si4 S24'
_cell_length_a 12.137
_cell_length_b 7.989
_cell_length_c 12.429
_cell_angle_alpha 90.00
_cell_angle_beta 108.32
_cell_angle_gamma 90.00
_symmetry_space_group_name_H-M 'C 1 c 1'
_symmetry_Int_Tables_number 9
loop_
_symmetry_equiv_pos_as_xyz
'x,y,z'
'x,-y,z+1/2'
'x+1/2,y+1/2,z'
'x+1/2,-y+1/2,z+1/2'
loop_
_atom_site_label
_atom_site_fract_x
_atom_site_fract_y
_atom_site_fract_z
Na1 0.000 0.071 0.000
Na2 0.221 0.294 0.681
In1 0.043 0.410 0.318
In2 0.362 0.051 0.016
Si1 0.298 0.214 0.260
S1 0.024 0.279 0.491
S2 0.224 0.004 0.319
S3 0.225 0.231 0.080
S4 0.255 0.439 0.335
S5 0.422 0.206 0.633
S6 0.483 0.216 0.309

***

# 5
# PBE CaNd4Sm7, optimized geometry
# - relative energy among the computed polymorphs (eV per formula unit) = 2.77
# - calculated formation energy (eV/atom) = 0.264
# - theoretical density (g/cm3) = 6.460
data_CaNd4Sm7
_chemical_formula_sum 'Ca2 Nd8 Sm14'
_cell_length_a 12.300
_cell_length_b 6.137
_cell_length_c 12.906
_cell_angle_alpha 90.00
_cell_angle_beta 118.24
_cell_angle_gamma 90.00
_symmetry_space_group_name_H-M 'C 1 2/m 1'
_symmetry_Int_Tables_number 12
loop_
_symmetry_equiv_pos_as_xyz
'x,y,z'
'-x,-y,-z'
'-x,y,-z'
'x,-y,z'
'x+1/2,y+1/2,z'
'-x+1/2,-y+1/2,-z'
'-x+1/2,y+1/2,-z'
'x+1/2,-y+1/2,z'
loop_
_atom_site_label
_atom_site_fract_x
_atom_site_fract_y
_atom_site_fract_z
Ca1 0.000 0.000 0.000
Nd1 0.064 0.500 0.323
Nd2 0.140 0.000 0.777
Sm1 0.000 0.500 0.000
Sm2 0.132 0.000 0.500
Sm3 0.206 0.500 0.923
Sm4 0.235 0.500 0.675

***

# 6
# PBE HgGeTe2N, optimized geometry
# - formation energy without anion corrections (meV/atom) = 1169
# - relative energy among the computed polymorphs (eV per formula unit) = 2.81
# - theoretical density (g/cm3) = 6.577
data_HgGeTe2N
_chemical_formula_sum 'Hg1 Ge1 Te2 N1'
_cell_length_a 5.770
_cell_length_b 5.770
_cell_length_c 4.114
_cell_angle_alpha 90.00
_cell_angle_beta 90.00
_cell_angle_gamma 90.00
_symmetry_space_group_name_H-M 'P 4/m m m'
_symmetry_Int_Tables_number 123
_symmetry_space_group_name_Hall '-P 4 2'
loop_
_atom_site_label
_atom_site_fract_x
_atom_site_fract_y
_atom_site_fract_z
Hg1 0.000 0.000 0.000
Ge1 0.500 0.500 0.500
Te1 0.000 0.500 0.000
N1 0.000 0.000 0.500

***

# 7
# PBE CsAl2Sn2, optimized geometry
# - relative energy among the computed polymorphs (eV per formula unit) = 0.04
# - calculated formation energy (eV/atom) = -0.033
# - theoretical density (g/cm3) = 4.714
data_CsAl2Sn2
_chemical_formula_sum 'Cs2 Al4 Sn4'
_cell_length_a 5.031
_cell_length_b 5.031
_cell_length_c 11.809
_cell_angle_alpha 90.00
_cell_angle_beta 90.00
_cell_angle_gamma 90.00
_symmetry_space_group_name_H-M 'I 4/m m m'
_symmetry_Int_Tables_number 139
_symmetry_space_group_name_Hall '-I 4 2'
loop_
_atom_site_label
_atom_site_fract_x
_atom_site_fract_y
_atom_site_fract_z
Cs1 0.000 0.000 0.000
Al1 0.000 0.500 0.250
Sn1 0.000 0.000 0.368

***

# 8
# PBE PrThInHg, optimized geometry
# - relative energy among the computed polymorphs (eV per formula unit) = 0.16
# - calculated formation energy (eV/atom) = -0.323
# - theoretical density (g/cm3) = 9.843
data_PrThInHg
_chemical_formula_sum 'Pr4 Th4 In4 Hg4'
_cell_length_a 7.745
_cell_length_b 7.745
_cell_length_c 7.745
_cell_angle_alpha 90.00
_cell_angle_beta 90.00
_cell_angle_gamma 90.00
_symmetry_space_group_name_H-M 'F -4 3 m'
_symmetry_Int_Tables_number 216
_symmetry_space_group_name_Hall 'F -4 2 3'
loop_
_atom_site_label
_atom_site_fract_x
_atom_site_fract_y
_atom_site_fract_z
Pr1 0.000 0.000 0.000
Th1 0.000 0.000 0.500
In1 0.250 0.250 0.250
Hg1 0.250 0.250 0.750

***

# 9
# PBE Cd2In4SnHg, optimized geometry
# - calculated formation energy (eV/atom) = 0.089
# - theoretical density (g/cm3) = 7.032
data_Cd2In4SnHg
_chemical_formula_sum 'Cd2 In4 Sn1 Hg1'
_cell_length_a 4.719
_cell_length_b 4.719
_cell_length_c 10.640
_cell_angle_alpha 90.00
_cell_angle_beta 90.00
_cell_angle_gamma 90.00
_symmetry_space_group_name_H-M 'P 4/m m m'
_symmetry_Int_Tables_number 123
_symmetry_space_group_name_Hall '-P 4 2'
loop_
_atom_site_label
_atom_site_fract_x
_atom_site_fract_y
_atom_site_fract_z
Cd1 0.000 0.000 0.129
In1 0.000 0.500 0.310
Sn1 0.500 0.500 0.500
Hg1 0.500 0.500 0.000

***

# 10
# PBE Al2NiAu, optimized geometry
# - calculated formation energy (eV/atom) = -0.417
# - theoretical density (g/cm3) = 8.689
data_Al2NiAu
_chemical_formula_sum 'Al2 Ni1 Au1'
_cell_length_a 3.334
_cell_length_b 3.334
_cell_length_c 5.322
_cell_angle_alpha 90.00
_cell_angle_beta 90.00
_cell_angle_gamma 90.00
_symmetry_space_group_name_H-M 'P 4 m m'
_symmetry_Int_Tables_number 99
loop_
_symmetry_equiv_pos_as_xyz
'x,y,z'
'-y,x,z'
'-x,-y,z'
'y,-x,z'
'-x,y,z'
'y,x,z'
'x,-y,z'
'-y,-x,z'
loop_
_atom_site_label
_atom_site_fract_x
_atom_site_fract_y
_atom_site_fract_z
Al1 0.000 0.000 0.000
Al2 0.500 0.500 0.296
Ni1 0.500 0.500 0.830
Au1 0.000 0.000 0.515

***

# 11
# PBE Li2TlRh, optimized geometry
# - calculated formation energy (eV/atom) = -0.109
# - theoretical density (g/cm3) = 7.960
data_Li2TlRh
_chemical_formula_sum 'Li2 Tl1 Rh1'
_cell_length_a 3.136
_cell_length_b 3.645
_cell_length_c 5.862
_cell_angle_alpha 90.00
_cell_angle_beta 90.00
_cell_angle_gamma 90.00
_symmetry_space_group_name_H-M 'P m m 2'
_symmetry_Int_Tables_number 25
loop_
_symmetry_equiv_pos_as_xyz
'x,y,z'
'-x,-y,z'
'-x,y,z'
'x,-y,z'
loop_
_atom_site_label
_atom_site_fract_x
_atom_site_fract_y
_atom_site_fract_z
Li1 0.000 0.000 0.000
Li2 0.500 0.500 0.247
Tl1 0.500 0.500 0.719
Rh1 0.000 0.000 0.459

***

# 12
# PBE InOsNO2, optimized geometry
# - formation energy without anion corrections (meV/atom) = 1323
# - theoretical density (g/cm3) = 8.292
data_InOsNO2
_chemical_formula_sum 'In1 Os1 N1 O2'
_cell_length_a 4.060
_cell_length_b 4.060
_cell_length_c 4.265
_cell_angle_alpha 90.00
_cell_angle_beta 90.00
_cell_angle_gamma 90.00
_symmetry_space_group_name_H-M 'P 4/m m m'
_symmetry_Int_Tables_number 123
_symmetry_space_group_name_Hall '-P 4 2'
loop_
_atom_site_label
_atom_site_fract_x
_atom_site_fract_y
_atom_site_fract_z
In1 0.000 0.000 0.000
Os1 0.500 0.500 0.500
N1 0.000 0.000 0.500
O1 0.000 0.500 0.000

***

Total magnetization (computed, Bohr magnetons per cell): 2.56, 0.00, 2.21, 0.00, 0.00, 1.74, 0.00, 0.00, 0.00, 0.00, 0.00, 4.49
Total DFT energy (no corrections) (computed, eV/atom): -5.7450, -3.1055, -3.6049, -4.3309, -4.2452, -2.7364, -3.3023, -4.1333, -2.0466, -4.5525, -3.4954, -5.1188